--- A ---
A geometry-optimized PaZnRe structure, computed with PBE.

SG: No. 216

Geometry as extended XYZ:
```
3
Lattice="2.3711 -3.7586 -0.7068 0.5312 -2.9840 3.3259 -2.0937 -3.9785 -0.1911" Properties=species:S:1:pos:R:3 pbc="T T T"
Pa 0.0000 0.0000 0.0000
Zn 0.4043 -5.3605 1.2140
Re 0.2022 -2.6803 0.6070
```

=====

--- B ---
A geometry-optimized PaZnRe structure, computed with PBE.

SG: No. 216

Geometry as extended XYZ:
```
3
Lattice="-3.4002 -2.6386 -1.5388 -4.3310 1.4182 0.3499 -2.3174 1.2134 -3.7482" Properties=species:S:1:pos:R:3 pbc="T T T"
Pa 0.0000 0.0000 0.0000
Re -2.5121 -0.0018 -1.2343
Zn -7.5364 -0.0053 -3.7028
```

=====

Which of them is least stable? Easy: B.

=====

--- A ---
A geometry-optimized PaSeS structure, computed with PBE.

SG: No. 38

Geometry as extended XYZ:
```
6
Lattice="-2.2612 3.0216 0.8546 -8.0891 -7.6515 5.6506 10.0792 7.3325 0.7426" Properties=species:S:1:pos:R:3 pbc="T T T"
Pa 0.0257 1.3255 4.1418
Pa 0.1376 -0.0221 0.4421
S 0.2626 -1.2368 5.0675
S 2.6884 0.7638 4.4122
Se 0.6743 2.5239 1.6207
Se -1.9701 0.3430 2.3351
```

=====

--- B ---
A geometry-optimized PaSeS structure, computed with PBE.

SG: No. 129

Geometry as extended XYZ:
```
6
Lattice="-3.1794 -1.8284 1.8185 1.1972 -3.6026 -1.5292 4.3229 -1.2380 6.3008" Properties=species:S:1:pos:R:3 pbc="T T T"
Pa 0.4634 -1.6332 1.4720
Pa 1.8773 -5.0358 5.1182
Se 0.0766 -2.8907 4.1317
Se 2.2641 -3.7783 2.4584
S -0.8837 -4.2463 1.0967
S 3.2244 -2.4227 5.4935
```

=====

Which of them is least stable? Easy: B.

=====

--- A ---
A geometry-optimized PaSb structure, computed with PBE.

SG: No. 216

Geometry as extended XYZ:
```
2
Lattice="0.0000 3.5061 3.5061 3.5061 0.0000 3.5061 3.5061 3.5061 0.0000" Properties=species:S:1:pos:R:3 pbc="T T T"
Pa 0.0000 0.0000 0.0000
Sb 1.7531 1.7531 1.7531
```

=====

--- B ---
A geometry-optimized PaSb structure, computed with PBE.

SG: No. 194

Geometry as extended XYZ:
```
4
Lattice="-4.1867 -1.2825 -1.2223 1.5896 -1.0627 4.1244 -2.5353 5.8966 2.4965" Properties=species:S:1:pos:R:3 pbc="T T T"
Pa -1.2676 2.9483 1.2483
Pa 0.0000 0.0000 0.0000
Sb -4.1627 3.2132 2.4323
Sb -0.9696 0.3381 2.9663
```

=====

Which of them is least stable? Easy: A.

=====

--- A ---
A geometry-optimized PaSb structure, computed with PBE.

SG: No. 187

Geometry as extended XYZ:
```
2
Lattice="3.3393 0.0000 0.0000 -1.6696 2.8918 0.0000 0.0000 0.0000 5.2672" Properties=species:S:1:pos:R:3 pbc="T T T"
Sb 0.0000 1.9279 1.3168
Pa 1.6696 0.9639 3.9504
```

=====

--- B ---
A geometry-optimized PaSb structure, computed with PBE.

SG: No. 51

Geometry as extended XYZ:
```
8
Lattice="6.2312 0.0000 0.0000 0.0000 5.0879 0.0000 0.0000 0.0000 7.5800" Properties=species:S:1:pos:R:3 pbc="T T T"
Pa 1.5578 0.0000 5.1828
Pa 0.0000 2.5440 3.7900
Pa 3.1156 2.5440 3.7900
Pa 4.6734 0.0000 2.3972
Sb 4.6734 0.0000 5.4861
Sb 1.5578 2.5440 6.7445
Sb 1.5578 0.0000 2.0940
Sb 4.6734 2.5440 0.8355
```

=====

Which of them is least stable? Easy: B.

=====

--- A ---
A geometry-optimized PaSb structure, computed with PBE.

SG: No. 194

Geometry as extended XYZ:
```
4
Lattice="-2.4833 -1.2870 3.0015 2.4778 -2.6640 -1.8963 5.6690 1.4819 5.3258" Properties=species:S:1:pos:R:3 pbc="T T T"
Sb 0.0000 0.0000 0.0000
Sb 2.8345 0.7409 2.6629
Pa 2.2414 -1.8345 1.0678
Pa 3.4222 -0.6346 5.3632
```

=====

--- B ---
A geometry-optimized PaSb structure, computed with PBE.

SG: No. 225

Geometry as extended XYZ:
```
2
Lattice="0.0000 3.0837 3.0837 3.0837 0.0000 3.0837 3.0837 3.0837 0.0000" Properties=species:S:1:pos:R:3 pbc="T T T"
Sb 3.0837 3.0837 3.0837
Pa 0.0000 0.0000 0.0000
```

=====

Which of them is least stable? Easy: A.

=====

--- A ---
A geometry-optimized ZrPaSb structure, computed with PBE.

SG: No. 216

Geometry as extended XYZ:
```
3
Lattice="0.2989 -3.4949 3.6430 2.0465 1.1778 4.4721 -2.9319 0.3684 4.1041" Properties=species:S:1:pos:R:3 pbc="T T T"
Pa 0.0000 0.0000 0.0000
Zr -0.4398 -1.4615 9.1644
Sb -0.1466 -0.4872 3.0548
```

=====

--- B ---
A geometry-optimized ZrPaSb structure, computed with PBE.

SG: No. 216

Geometry as extended XYZ:
```
3
Lattice="0.0000 3.4354 3.4354 3.4354 0.0000 3.4354 3.4354 3.4354 0.0000" Properties=species:S:1:pos:R:3 pbc="T T T"
Sb 5.1531 5.1531 5.1531
Pa 1.7177 1.7177 1.7177
Zr 0.0000 0.0000 0.0000
```

=====

Which of them is least stable? Easy: A.

=====

--- A ---
A geometry-optimized ScPaSi structure, computed with PBE.

SG: No. 216

Geometry as extended XYZ:
```
3
Lattice="4.3038 -1.3892 -1.0380 1.5377 -4.1105 1.5062 0.6550 -3.4747 -3.0045" Properties=species:S:1:pos:R:3 pbc="T T T"
Sc 4.8724 -6.7309 -1.9023
Si 0.0000 0.0000 0.0000
Pa 1.6241 -2.2436 -0.6341
```

=====

--- B ---
A geometry-optimized ScPaSi structure, computed with PBE.

SG: No. 216

Geometry as extended XYZ:
```
3
Lattice="0.0000 3.3826 3.3826 3.3826 0.0000 3.3826 3.3826 3.3826 0.0000" Properties=species:S:1:pos:R:3 pbc="T T T"
Sc 1.6913 1.6913 1.6913
Pa 0.0000 0.0000 0.0000
Si 5.0740 5.0740 5.0740
```

=====

Which of them is least stable? Easy: B.

=====

--- A ---
A geometry-optimized ScPaSn structure, computed with PBE.

SG: No. 216

Geometry as extended XYZ:
```
3
Lattice="3.3475 -2.3265 -2.8958 -0.2031 -4.9644 -0.5637 -1.4152 -1.9636 -4.3756" Properties=species:S:1:pos:R:3 pbc="T T T"
Sn 0.0000 0.0000 0.0000
Sc 1.2969 -6.9410 -5.8764
Pa 0.4323 -2.3137 -1.9588
```

=====

--- B ---
A geometry-optimized ScPaSn structure, computed with PBE.

SG: No. 216

Geometry as extended XYZ:
```
3
Lattice="-3.8104 0.5202 3.3653 -1.9322 4.6289 0.9767 -4.6944 1.2033 -1.6213" Properties=species:S:1:pos:R:3 pbc="T T T"
Pa 0.0000 0.0000 0.0000
Sn -7.8278 4.7643 2.0404
Sc -2.6093 1.5881 0.6801
```

=====

Which of them is least stable? Easy: B.

=====

--- A ---
A geometry-optimized ScPaTa structure, computed with PBE.

SG: No. 216

Geometry as extended XYZ:
```
3
Lattice="4.4452 -1.5766 0.7380 1.5373 -0.8119 4.4460 0.7281 -4.4753 1.4939" Properties=species:S:1:pos:R:3 pbc="T T T"
Pa 0.0000 0.0000 0.0000
Ta 5.0330 -5.1479 5.0085
Sc 1.6777 -1.7160 1.6695
```

=====

--- B ---
A geometry-optimized ScPaTa structure, computed with PBE.

SG: No. 216

Geometry as extended XYZ:
```
3
Lattice="0.0000 3.3229 3.3229 3.3229 0.0000 3.3229 3.3229 3.3229 0.0000" Properties=species:S:1:pos:R:3 pbc="T T T"
Sc 0.0000 0.0000 0.0000
Ta 4.9843 4.9843 4.9843
Pa 1.6614 1.6614 1.6614
```

=====

Which of them is least stable? Easy: A.

=====

--- A ---
A geometry-optimized ScPaTe structure, computed with PBE.

SG: No. 216

Geometry as extended XYZ:
```
3
Lattice="3.4381 -3.2203 1.6068 0.2806 -1.1324 4.8385 -1.3673 -4.5166 1.5822" Properties=species:S:1:pos:R:3 pbc="T T T"
Pa 0.5878 -2.2173 2.0069
Sc 1.7635 -6.6520 6.0207
Te 0.0000 0.0000 0.0000
```

=====

--- B ---
A geometry-optimized ScPaTe structure, computed with PBE.

SG: No. 216

Geometry as extended XYZ:
```
3
Lattice="0.0000 3.6304 3.6304 3.6304 0.0000 3.6304 3.6304 3.6304 0.0000" Properties=species:S:1:pos:R:3 pbc="T T T"
Pa 0.0000 0.0000 0.0000
Te 5.4456 5.4456 5.4456
Sc 1.8152 1.8152 1.8152
```

=====

Which of them is least stable? Easy: B.

=====

--- A ---
A geometry-optimized Y2Sc2Pa structure, computed with PBE.

SG: No. 139

Geometry as extended XYZ:
```
5
Lattice="-2.1532 2.1532 7.7266 2.1532 -2.1532 7.7266 2.1532 2.1532 -7.7266" Properties=species:S:1:pos:R:3 pbc="T T T"
Sc 0.0000 0.0000 6.3399
Sc 0.0000 0.0000 9.1133
Y 2.1532 0.0000 3.8633
Y 0.0000 2.1532 3.8633
Pa 0.0000 0.0000 0.0000
```

=====

--- B ---
A geometry-optimized Y2Sc2Pa structure, computed with PBE.

SG: No. 139

Geometry as extended XYZ:
```
5
Lattice="-2.0958 2.0958 8.0204 2.0958 -2.0958 8.0204 2.0958 2.0958 -8.0204" Properties=species:S:1:pos:R:3 pbc="T T T"
Pa 0.0000 0.0000 0.0000
Sc 0.0000 2.0958 4.0102
Sc 2.0958 0.0000 4.0102
Y 0.0000 0.0000 9.5453
Y 0.0000 0.0000 6.4955
```

=====

Which of them is least stable? Easy: A.

=====

--- A ---
A geometry-optimized ScPaZn structure, computed with PBE.

SG: No. 216

Geometry as extended XYZ:
```
3
Lattice="0.0000 3.3801 3.3801 3.3801 0.0000 3.3801 3.3801 3.3801 0.0000" Properties=species:S:1:pos:R:3 pbc="T T T"
Sc 1.6900 1.6900 1.6900
Zn 5.0701 5.0701 5.0701
Pa 0.0000 0.0000 0.0000
```

=====

--- B ---
A geometry-optimized ScPaZn structure, computed with PBE.

SG: No. 216

Geometry as extended XYZ:
```
3
Lattice="0.0000 3.3250 3.3250 3.3250 0.0000 3.3250 3.3250 3.3250 0.0000" Properties=species:S:1:pos:R:3 pbc="T T T"
Zn 0.0000 0.0000 0.0000
Pa 1.6625 1.6625 1.6625
Sc 4.9875 4.9875 4.9875
```

=====

Which of them is least stable? Easy: A.